Record 1
TbZrGa: optimized geometry, PBE-GGA.

Properties
Total magnetic moment, μB per formula unit: 0.00

Cell: 3.3344 3.3344 6.7195 Å, 104.37 104.37 90.00°
Fractional coordinates of all 3 atoms:
Tb: 0.0094 0.0094 0.0187
Zr: 0.3166 0.3166 0.6333
Ga: 0.6740 0.6740 0.3480

---

Record 2
Tb2ZrGa: optimized geometry, PBE-GGA.

Properties
Total magnetic moment, μB per formula unit: 0.00

Cell: 3.4435 3.4435 8.5614 Å, 90.00 90.00 90.00°
Fractional coordinates of all 4 atoms:
Zr: 0.5000 0.5000 0.5000
Tb: 0.0000 0.0000 0.7735
Tb: 0.0000 0.0000 0.2265
Ga: 0.5000 0.5000 0.0000

---

| no. | ΔE_f (eV/atom) | DFT total energy (eV/cell) | excess energy over the best structure of this formula in the dataset (meV/atom) |
| --- | --- | --- | --- |
| 1 | -0.289 | -17.071 | 144.3 |
| 2 | -0.220 | -21.716 | 0.0 |